Entry 1:
The following is a DFT calculation (PBE) of an optimized crystal structure of NdSmTe.

Output
Raw formation energy = -0.52 eV/atom

Unit cell a=5.1559 b=5.1559 c=4.3588 alpha=90.00 beta=90.00 gamma=120.00
With the nearest neighbours (Å) after each atom.
Space group P3m1 (No. 156)
Symmetry-distinct sites (fractional):
Nd 0.0000 0.0000 0.0000  3 Te 3.19
Sm 0.6667 0.3333 0.4909  3 Te 3.14
Te 0.3333 0.6667 0.2630  3 Sm 3.14, 3 Nd 3.19

Entry 2:
The following is a DFT calculation (PBE) of an optimized crystal structure of Pm8DyHo2.

Output
ΔE_f = 0.21 eV/atom

Unit cell a=14.2558 b=6.7665 c=8.5869 alpha=90.00 beta=114.17 gamma=90.00
With the nearest neighbours (Å) after each atom.
Space group C2/m (No. 12)
Symmetry-distinct sites (fractional):
Pm 0.0922 0.2408 0.3821  4 Pm 3.26-3.63, 2 Ho 3.47-3.56, 1 Dy 3.47
Pm 0.1083 0.0000 0.9928  2 Pm 3.14-3.16, 1 Ho 3.28
Pm 0.2412 0.0000 0.7747  1 Pm 3.16, 1 Dy 3.39
Dy 0.0000 0.5000 0.0000  10 Pm 3.39-3.73, 2 Ho 3.49
Ho 0.1455 0.5000 0.7571  8 Pm 3.28-3.67, 1 Dy 3.49

Entry 3:
The following is a DFT calculation (PBE) of an optimized crystal structure of BiAu.

Output
ΔE_f = 0.02 eV/atom

Unit cell a=10.1784 b=10.1784 c=4.2908 alpha=90.00 beta=90.00 gamma=90.00
With the nearest neighbours (Å) after each atom.
Space group I4/m (No. 87)
Symmetry-distinct sites (fractional):
Bi 0.1222 0.1985 0.0000  3 Au 2.88-3.10
Au 0.0844 0.3832 0.5000  3 Bi 2.88-3.10, 5 Au 2.93-2.98

Entry 4:
The following is a DFT calculation (PBE) of an optimized crystal structure of ZrScInGa.

Output
ΔE_f = -0.33 eV/atom

Unit cell a=6.9409 b=6.9409 c=6.9409 alpha=90.00 beta=90.00 gamma=90.00
With the nearest neighbours (Å) after each atom.
Space group F-43m (No. 216)
Symmetry-distinct sites (fractional):
Zr 0.0000 0.0000 0.0000  4 In 3.01, 4 Ga 3.01
Sc 0.0000 0.0000 0.5000  4 Ga 3.01, 4 In 3.01
In 0.2500 0.2500 0.2500  4 Zr 3.01, 4 Sc 3.01
Ga 0.2500 0.2500 0.7500  4 Zr 3.01, 4 Sc 3.01

Entry 5:
The following is a DFT calculation (PBE) of an optimized crystal structure of Nb3RuRh.

Output
ΔE_f = 1.08 eV/atom

Unit cell a=4.7407 b=4.7407 c=4.7407 alpha=90.00 beta=90.00 gamma=90.00
With the nearest neighbours (Å) after each atom.
Space group Pm-3m (No. 221)
Symmetry-distinct sites (fractional):
Nb 0.0000 0.0000 0.5000  2 Ru 2.37
Ru 0.0000 0.0000 0.0000  6 Nb 2.37
Rh 0.5000 0.5000 0.5000  12 Nb 3.35

Entry 6:
The following is a DFT calculation (PBE) of an optimized crystal structure of ScBeO3.

Output
Raw formation energy = -1.09 eV/atom

Unit cell a=3.9710 b=3.9710 c=3.9710 alpha=90.00 beta=90.00 gamma=90.00
With the nearest neighbours (Å) after each atom.
Space group Pm-3m (No. 221)
Symmetry-distinct sites (fractional):
Sc 0.0000 0.0000 0.0000  6 O 1.99
Be 0.5000 0.5000 0.5000  12 O 2.81
O 0.0000 0.0000 0.5000  2 Sc 1.99

Entry 7:
The following is a DFT calculation (PBE) of an optimized crystal structure of Nd4IrRh2.

Output
ΔE_f = -0.53 eV/atom

Unit cell a=8.5556 b=9.4280 c=9.5611 alpha=90.00 beta=90.00 gamma=90.00
With the nearest neighbours (Å) after each atom.
Space group Imma (No. 74)
Symmetry-distinct sites (fractional):
Nd 0.0000 0.0511 0.2134  3 Rh 2.78-2.87, 1 Ir 2.84
Nd 0.2111 0.2500 0.5490  3 Rh 2.88-3.01, 2 Ir 2.89-2.96
Ir 0.0000 0.2500 0.7950  6 Nd 2.84-2.96
Rh 0.0000 0.0000 0.5000  6 Nd 2.78-3.01
Rh 0.2500 0.2500 0.2500  6 Nd 2.87-2.88

Entry 8:
The following is a DFT calculation (PBE) of an optimized crystal structure of ZrSiSb3.

Output
Raw formation energy = 0.70 eV/atom

Unit cell a=5.5166 b=5.5166 c=5.5166 alpha=90.00 beta=90.00 gamma=90.00
With the nearest neighbours (Å) after each atom.
Space group Pm-3m (No. 221)
Symmetry-distinct sites (fractional):
Zr 0.0000 0.0000 0.0000  6 Sb 2.76
Si 0.5000 0.5000 0.5000  12 Sb 3.90
Sb 0.0000 0.0000 0.5000  2 Zr 2.76

Entry 9:
The following is a DFT calculation (PBE) of an optimized crystal structure of Er3Al2Cd2.

Output
ΔE_f = -0.36 eV/atom

Unit cell a=4.4085 b=21.6995 c=3.4435 alpha=90.00 beta=90.00 gamma=90.00
With the nearest neighbours (Å) after each atom.
Space group Cmmm (No. 65)
Symmetry-distinct sites (fractional):
Er 0.0000 0.0000 0.0000  8 Cd 3.29, 4 Er 3.44-3.50
Er 0.0000 0.1612 0.0000  6 Al 3.06-3.14, 4 Cd 3.31
Al 0.0000 0.2821 0.5000  2 Al 2.61
Cd 0.0000 0.4204 0.5000  1 Al 3.00, 8 Er 3.29-3.31

Entry 10:
The following is a DFT calculation (PBE) of an optimized crystal structure of Rb2NaCd.

Output
ΔE_f = 0.02 eV/atom

Unit cell a=12.4586 b=7.9959 c=4.8214 alpha=90.00 beta=112.46 gamma=90.00
With the nearest neighbours (Å) after each atom.
Space group C2 (No. 5)
Symmetry-distinct sites (fractional):
Rb 0.1955 0.0000 0.1954  3 Cd 3.87-4.02, 2 Na 4.25-4.27
Na 0.0000 0.5274 0.0000  2 Cd 3.25
Cd 0.0000 0.2552 0.5000  2 Na 3.25

Entry 11:
The following is a DFT calculation (PBE) of an optimized crystal structure of TaMo2As.

Output
ΔE_f = 0.08 eV/atom

Unit cell a=3.3653 b=4.2142 c=4.5817 alpha=90.00 beta=90.00 gamma=90.00
With the nearest neighbours (Å) after each atom.
Space group Pmmm (No. 47)
Symmetry-distinct sites (fractional):
Ta 0.0000 0.0000 0.0000  4 As 2.70, 4 Mo 2.84
Mo 0.0000 0.5000 0.5000  4 Mo 2.70, 4 As 2.84
Mo 0.5000 0.0000 0.5000  4 Mo 2.70, 4 Ta 2.84
As 0.5000 0.5000 0.0000  4 Ta 2.70, 4 Mo 2.84

Entry 12:
The following is a DFT calculation (PBE) of an optimized crystal structure of Pu2As2H3.

Output
Calculated total energy = -7.26 eV per atom

Unit cell a=11.0240 b=3.7169 c=5.8729 alpha=90.00 beta=115.53 gamma=90.00
With the nearest neighbours (Å) after each atom.
Space group C2/m (No. 12)
Symmetry-distinct sites (fractional):
Pu 0.1185 0.0000 0.2755  5 H 2.20-2.44
As 0.1878 0.0000 0.8415  2 As 2.57, 2 H 2.66
H 0.0000 0.5000 0.0000  4 Pu 2.44, 2 H 2.68
H 0.1595 0.5000 0.4972  3 Pu 2.20-2.23

Entry 13:
The following is a DFT calculation (PBE) of an optimized crystal structure of RbGaTcP2.

Output
ΔE_f = 0.03 eV/atom

Unit cell a=4.7385 b=4.7385 c=5.0040 alpha=90.00 beta=90.00 gamma=90.00
With the nearest neighbours (Å) after each atom.
Space group P4/mmm (No. 123)
Symmetry-distinct sites (fractional):
Rb 0.0000 0.0000 0.0000  4 Ga 3.35, 8 P 3.45
Ga 0.5000 0.5000 0.0000  2 Tc 2.50
Tc 0.5000 0.5000 0.5000  4 P 2.37, 2 Ga 2.50
P 0.0000 0.5000 0.5000  2 Tc 2.37

Entry 14:
The following is a DFT calculation (PBE) of an optimized crystal structure of Ba2Mg16In.

Output
ΔE_f = -0.09 eV/atom

Unit cell a=10.6105 b=10.6105 c=15.5346 alpha=90.00 beta=90.00 gamma=120.00
With the nearest neighbours (Å) after each atom.
Space group R3m (No. 160, hexagonal axes)
Symmetry-distinct sites (fractional):
Ba 0.0000 0.0000 0.0000  1 In 3.65, 18 Mg 3.76-4.08
Ba 0.0000 0.0000 0.3283  19 Mg 3.76-4.12
Mg 0.0000 0.0000 0.5706  1 In 3.02, 6 Mg 3.26-3.35
Mg 0.0000 0.2943 0.6637  8 Mg 3.04-3.24
Mg 0.0001 0.5000 0.8172  9 Mg 3.07-3.35
Mg 0.0008 0.5004 0.1640  9 Mg 3.04-3.26, 1 In 3.23
Mg 0.1689 0.3377 0.8429  8 Mg 3.07-3.24, 1 In 3.33
In 0.0000 0.0000 0.7650  7 Mg 3.02-3.33

Entry 15:
The following is a DFT calculation (PBE) of an optimized crystal structure of SmTm2Bi.

Output
ΔE_f = -0.32 eV/atom

Unit cell a=4.0064 b=4.0064 c=7.4464 alpha=90.00 beta=90.00 gamma=90.00
With the nearest neighbours (Å) after each atom.
Space group P4/mmm (No. 123)
Symmetry-distinct sites (fractional):
Sm 0.0000 0.0000 0.0000  8 Tm 3.49, 2 Bi 3.72
Tm 0.5000 0.5000 0.2731  4 Bi 3.30, 1 Tm 3.38, 4 Sm 3.49
Bi 0.0000 0.0000 0.5000  8 Tm 3.30

Entry 16:
The following is a DFT calculation (PBE) of an optimized crystal structure of Ta4Nb3Fe.

Output
ΔE_f = -0.03 eV/atom

Unit cell a=3.2501 b=3.2501 c=13.1210 alpha=90.00 beta=90.00 gamma=90.00
With the nearest neighbours (Å) after each atom.
Space group P4/mmm (No. 123)
Symmetry-distinct sites (fractional):
Ta 0.0000 0.0000 0.1132  4 Fe 2.74, 4 Nb 2.85, 1 Ta 2.97
Ta 0.0000 0.0000 0.3692  8 Nb 2.84-2.87
Nb 0.5000 0.5000 0.2423  8 Ta 2.84-2.85
Nb 0.5000 0.5000 0.5000  8 Ta 2.87
Fe 0.5000 0.5000 0.0000  8 Ta 2.74

Entry 17:
The following is a DFT calculation (PBE) of an optimized crystal structure of ZnAgNF2.

Output
Raw formation energy = 0.18 eV/atom

Unit cell a=4.3686 b=4.3686 c=4.0672 alpha=90.00 beta=90.00 gamma=90.00
With the nearest neighbours (Å) after each atom.
Space group P4/mmm (No. 123)
Symmetry-distinct sites (fractional):
Zn 0.0000 0.0000 0.0000  8 F 2.98, 4 N 3.09
Ag 0.5000 0.5000 0.5000  2 N 2.03, 4 F 2.18
N 0.5000 0.5000 0.0000  2 Ag 2.03
F 0.0000 0.5000 0.5000  2 Ag 2.18

Entry 18:
The following is a DFT calculation (PBE) of an optimized crystal structure of TbDyErLu.

Output
ΔE_f = 0.13 eV/atom

Unit cell a=7.9210 b=7.9210 c=7.9210 alpha=90.00 beta=90.00 gamma=90.00
With the nearest neighbours (Å) after each atom.
Space group F-43m (No. 216)
Symmetry-distinct sites (fractional):
Tb 0.0000 0.0000 0.0000  4 Er 3.43, 4 Lu 3.43
Dy 0.0000 0.0000 0.5000  4 Er 3.43, 4 Lu 3.43
Er 0.2500 0.2500 0.7500  4 Tb 3.43, 4 Dy 3.43
Lu 0.2500 0.2500 0.2500  4 Tb 3.43, 4 Dy 3.43

Entry 19:
The following is a DFT calculation (PBE) of an optimized crystal structure of AlVTe2Rh.

Output
Raw formation energy = 0.53 eV/atom

Unit cell a=5.2119 b=5.2119 c=4.5514 alpha=90.00 beta=90.00 gamma=90.00
With the nearest neighbours (Å) after each atom.
Space group P4/mmm (No. 123)
Symmetry-distinct sites (fractional):
Al 0.0000 0.0000 0.0000  8 Te 3.46, 4 Rh 3.69
V 0.5000 0.5000 0.5000  2 Rh 2.28
Te 0.0000 0.5000 0.5000  2 V 2.61
Rh 0.5000 0.5000 0.0000  2 V 2.28

Entry 20:
The following is a DFT calculation (PBE) of an optimized crystal structure of Pr4SmMg.

Output
ΔE_f = -0.03 eV/atom

Unit cell a=3.7221 b=3.7221 c=14.6579 alpha=90.00 beta=90.00 gamma=90.00
With the nearest neighbours (Å) after each atom.
Space group P4/mmm (No. 123)
Symmetry-distinct sites (fractional):
Pr 0.0000 0.0000 0.1490  4 Mg 3.42, 8 Pr 3.68-3.72
Pr 0.5000 0.5000 0.3246  4 Sm 3.68, 8 Pr 3.68-3.72
Sm 0.0000 0.0000 0.5000  8 Pr 3.68, 4 Sm 3.72
Mg 0.5000 0.5000 0.0000  8 Pr 3.42, 4 Mg 3.72

Entry 21:
The following is a DFT calculation (PBE) of an optimized crystal structure of K4Pr3DySe8.

Output
Raw formation energy = -1.75 eV/atom

Unit cell a=8.6796 b=8.6796 c=23.1311 alpha=90.00 beta=90.00 gamma=120.00
With the nearest neighbours (Å) after each atom.
Space group R-3m (No. 166, hexagonal axes)
Symmetry-distinct sites (fractional):
K 0.0000 0.0000 0.0000  6 Se 3.41
K 0.0000 0.5000 0.0000  6 Se 3.34
Pr 0.0000 0.5000 0.5000  6 Se 3.00-3.01
Dy 0.0000 0.0000 0.5000  6 Se 2.92
Se 0.0000 0.0000 0.2379  3 Pr 3.00, 3 K 3.34
Se 0.0087 0.5044 0.2364  1 Dy 2.92, 2 Pr 3.01

Entry 22:
The following is a DFT calculation (PBE) of an optimized crystal structure of Pd2Se3F.

Output
Raw formation energy = -0.39 eV/atom

Unit cell a=9.0358 b=9.0358 c=9.6060 alpha=90.00 beta=90.00 gamma=120.00
With the nearest neighbours (Å) after each atom.
Space group R-3m (No. 166, hexagonal axes)
Symmetry-distinct sites (fractional):
Pd 0.0000 0.0000 0.0000  2 F 2.00
Pd 0.0000 0.5000 0.0000  6 Se 2.58-2.61, 2 F 2.87
Se 0.0200 0.5100 0.2676  4 Pd 2.58-2.84
F 0.0000 0.0000 0.2087  1 Pd 2.00

Entry 23:
The following is a DFT calculation (PBE) of an optimized crystal structure of Y2NbCr.

Output
ΔE_f = 0.50 eV/atom

Unit cell a=7.2787 b=7.2787 c=7.2787 alpha=90.00 beta=90.00 gamma=90.00
With the nearest neighbours (Å) after each atom.
Space group Fm-3m (No. 225)
Symmetry-distinct sites (fractional):
Y 0.2500 0.2500 0.2500  4 Cr 3.15, 4 Nb 3.15
Nb 0.0000 0.0000 0.0000  8 Y 3.15
Cr 0.0000 0.0000 0.5000  8 Y 3.15